# 1
Computed, not measured: crystalline SmZn2Au5 at its relaxed geometry at the PBE-GGA level of DFT.

abc: 6.8459 6.8459 6.8459
angles: 147.32 112.26 77.26
Sites, in units of the cell vectors:
Sm1 0.0000 0.0000 0.0000
Zn1 0.2532 0.7532 0.5000
Zn2 0.7468 0.2468 0.5000
Au1 0.1522 0.3650 0.7872
Au2 0.4222 0.6350 0.7872
Au3 0.5000 0.0000 0.5000
Au4 0.5778 0.3650 0.2128
Au5 0.8478 0.6350 0.2128

## Properties
space group: Immm, No. 71
volume: 157 Å³/cell

# 2
Computed, not measured: crystalline SmZn2Au at its relaxed geometry at the PBE-GGA level of DFT.

abc: 7.1670 5.5757 5.5757
angles: 45.46 90.00 90.00
Sites, in units of the cell vectors:
Sm1 0.0000 0.0000 0.0000
Sm2 0.5000 0.1513 0.1513
Zn1 0.0000 0.2967 0.2967
Zn2 0.3126 0.4416 0.4416
Zn3 0.5000 0.8632 0.8632
Zn4 0.6874 0.4416 0.4416
Au1 0.2005 0.7003 0.7003
Au2 0.7995 0.7003 0.7003

## Properties
space group: Amm2, No. 38
volume: 159 Å³/cell

# 3
Computed, not measured: crystalline SmZn3Au at its relaxed geometry at the PBE-GGA level of DFT.

abc: 6.4614 6.4614 5.8710
angles: 90.00 90.00 126.59
Sites, in units of the cell vectors:
Sm1 0.2495 0.7505 0.7500
Sm2 0.7505 0.2495 0.2500
Zn1 0.1295 0.8705 0.2500
Zn2 0.2528 0.2528 0.0000
Zn3 0.2528 0.2528 0.5000
Zn4 0.7472 0.7472 0.0000
Zn5 0.7472 0.7472 0.5000
Zn6 0.8705 0.1295 0.7500
Au1 0.3522 0.6478 0.2500
Au2 0.6478 0.3522 0.7500

## Properties
space group: Cmcm, No. 63
volume: 197 Å³/cell
energy relative to the lowest polymorph listed for this composition: 0.000 eV/atom

# 4
Computed, not measured: crystalline Sm4Zn5Au6 at its relaxed geometry at the PBE-GGA level of DFT.

abc: 10.9484 10.9484 15.2102
angles: 90.00 90.00 158.78
Sites, in units of the cell vectors:
Sm1 0.0215 0.9785 0.5000
Sm2 0.0485 0.9515 0.7699
Sm3 0.1476 0.8524 0.2851
Sm4 0.1926 0.8074 0.9346
Sm5 0.8074 0.1926 0.4346
Sm6 0.8524 0.1476 0.7851
Sm7 0.9515 0.0485 0.2699
Sm8 0.9785 0.0215 0.0000
Zn1 0.1632 0.8368 0.6352
Zn2 0.3100 0.6900 0.6042
Zn3 0.3346 0.6654 0.2715
Zn4 0.3633 0.6367 0.9606
Zn5 0.4563 0.5437 0.6615
Zn6 0.5437 0.4563 0.1615
Zn7 0.6367 0.3633 0.4606
Zn8 0.6654 0.3346 0.7715
Zn9 0.6900 0.3100 0.1042
Zn10 0.8368 0.1632 0.1352
Au1 0.1056 0.8944 0.0887
Au2 0.2123 0.7877 0.4814
Au3 0.2499 0.7501 0.7553
Au4 0.4165 0.5835 0.1244
Au5 0.4173 0.5827 0.4204
Au6 0.4542 0.5458 0.8424
Au7 0.5458 0.4542 0.3424
Au8 0.5835 0.4165 0.6244
Au9 0.5827 0.4173 0.9204
Au10 0.7501 0.2499 0.2553
Au11 0.7877 0.2123 0.9814
Au12 0.8944 0.1056 0.5887

## Properties
space group: Cmc2_1, No. 36
volume: 660 Å³/cell

Number 1: ΔH_f (0 K) -351 meV per atom. Number 2: ΔH_f (0 K) -489 meV per atom. Number 3: ΔH_f (0 K) -430 meV per atom. Number 4: ΔH_f (0 K) -553 meV per atom.